VASP calculation (PBE) on crystalline KPaTiO5 at its relaxed geometry.

For the raw formation energy, the calculation gives -25.006 eV per formula unit.

The structure belongs to space group C2/c (No. 15); the cell edges are 7.592, 9.902 and 8.136 Å and the angles 90.00°, 115.25° and 90.00°. The inequivalent atoms are K at (0.000, 0.168, 0.250), Pa at (0.000, 0.500, 0.000), Ti at (0.000, 0.185, 0.750), O at (0.000, 0.435, 0.250), O at (0.085, 0.294, 0.613) and O at (0.195, 0.071, 0.895).

=====

VASP calculation (PBE) on crystalline RbCdH at its relaxed geometry.

The value obtained for the energy above the lowest structure with this stoichiometry is 0.219 eV per atom.

The structure belongs to space group P3m1 (No. 156); the cell edges are 4.1310, 4.1310 and 6.0554 Å and the angles 90.00°, 90.00° and 120.00°. The inequivalent atoms are Rb at (0.0000, 0.0000, 0.0000), Cd at (0.3333, 0.6667, 0.4902) and H at (0.6667, 0.3333, 0.2400).

=====

VASP calculation (PBE) on crystalline BeAs4 at its relaxed geometry.

The value obtained for the energy above the lowest structure with this stoichiometry is 0.173 eV per atom. The calculation puts the formation energy at 0.37 eV/atom.

The structure belongs to space group I4/mmm (No. 139); the cell edges are 5.342, 5.342 and 7.358 Å and the angles 90.00°, 90.00° and 90.00°. The inequivalent atoms are Be at (0.000, 0.000, 0.000), As at (0.000, 0.000, 0.292) and As at (0.000, 0.500, 0.250).